Entry P
MgNi3Se after structural relaxation. Source: Alexandria, functional PBE.

POSCAR file:
```
MgNi3Se
1.0
4.354 0.000 0.000
0.000 4.354 0.000
0.000 0.000 4.354
Se Ni Mg
1 3 1
Direct
0.000 0.000 0.000 Se
0.000 0.000 0.500 Ni
0.000 0.500 0.000 Ni
0.500 0.000 0.000 Ni
0.500 0.500 0.500 Mg
```

Computed properties:
N(E_F) = 0.987 states/eV/cell


Entry Q
MgNi3Se after structural relaxation. Source: Alexandria, functional PBE.

POSCAR file:
```
MgNi3Se
1.0
-2.089 3.190 -2.161
0.685 -2.112 -3.779
-3.792 -2.139 0.508
Ni Se Mg
3 1 1
Direct
0.000 0.500 0.000 Ni
0.000 0.000 0.500 Ni
0.500 0.000 0.000 Ni
0.500 0.500 0.500 Se
0.000 0.000 0.000 Mg
```

Computed properties:
N(E_F) = 5.537 states/eV/cell


Here is how they stack up, most stable first: entry P, entry Q.


Entry P
MgSi3Ni2 after structural relaxation. Source: Alexandria, functional PBE.

POSCAR file:
```
MgSi3Ni2
1.0
-0.891 4.824 1.312
-1.593 3.555 -3.257
-4.635 2.070 0.138
Si Ni Mg
3 2 1
Direct
0.500 0.500 0.000 Si
0.000 0.500 0.500 Si
0.500 0.000 0.500 Si
0.874 0.874 0.874 Ni
0.126 0.126 0.126 Ni
0.500 0.500 0.500 Mg
```

Computed properties:
N(E_F) = 3.139 states/eV/cell


Entry Q
MgSi3Ni2 after structural relaxation. Source: Alexandria, functional PBE.

POSCAR file:
```
MgSi3Ni2
1.0
3.837 0.000 0.000
0.000 4.303 -2.477
0.000 -0.005 4.964
Ni Si Mg
2 3 1
Direct
0.000 0.668 0.333 Ni
0.000 0.334 0.667 Ni
0.500 0.501 0.500 Si
0.500 0.501 0.000 Si
0.500 0.001 0.500 Si
0.000 0.001 0.000 Mg
```

Computed properties:
N(E_F) = 2.549 states/eV/cell


Here is how they stack up, most stable first: entry Q, entry P.


Entry P
Mg2ZrSiNi after structural relaxation. Source: Alexandria, functional PBE.

POSCAR file:
```
Mg2ZrSiNi
1.0
5.504 0.000 0.000
0.000 4.966 0.000
0.000 0.000 5.504
Mg Zr Si Ni
2 1 1 1
Direct
0.000 0.000 0.500 Mg
0.500 0.000 0.000 Mg
0.000 0.000 0.000 Zr
0.000 0.500 0.000 Si
0.500 0.500 0.500 Ni
```

Computed properties:
N(E_F) = 7.707 states/eV/cell


Entry Q
Mg2ZrSiNi after structural relaxation. Source: Alexandria, functional PBE.

POSCAR file:
```
Mg2ZrSiNi
1.0
-1.066 1.498 -4.213
-1.971 -4.282 -1.023
-4.058 1.495 1.558
Ni Mg Si Zr
1 2 1 1
Direct
0.000 0.000 0.000 Ni
0.000 0.000 0.500 Mg
0.500 0.000 0.000 Mg
0.500 0.500 0.500 Si
0.000 0.500 0.000 Zr
```

Computed properties:
N(E_F) = 2.897 states/eV/cell


Here is how they stack up, most stable first: entry Q, entry P.


Entry P
Mg2NiSn2 after structural relaxation. Source: Alexandria, functional PBE.

POSCAR file:
```
Mg2NiSn2
1.0
6.791 0.000 0.000
0.000 6.791 0.000
0.000 0.000 4.668
Mg Ni Sn
4 2 4
Direct
0.835 0.335 0.500 Mg
0.665 0.835 0.500 Mg
0.335 0.165 0.500 Mg
0.165 0.665 0.500 Mg
0.000 0.000 0.000 Ni
0.500 0.500 0.000 Ni
0.154 0.346 0.000 Sn
0.846 0.654 0.000 Sn
0.654 0.154 0.000 Sn
0.346 0.846 0.000 Sn
```

Computed properties:
N(E_F) = 4.002 states/eV/cell


Entry Q
Mg2NiSn2 after structural relaxation. Source: Alexandria, functional PBE.

POSCAR file:
```
Mg2NiSn2
1.0
-1.306 3.582 -2.089
-3.421 -2.168 -1.579
-3.766 2.353 10.916
Ni Mg Sn
2 4 4
Direct
0.250 0.750 0.500 Ni
0.500 0.500 0.000 Ni
0.824 0.824 0.648 Mg
0.574 0.074 0.148 Mg
0.176 0.176 0.352 Mg
0.926 0.426 0.852 Mg
0.440 0.940 0.881 Sn
0.310 0.310 0.619 Sn
0.690 0.690 0.381 Sn
0.060 0.560 0.119 Sn
```

Computed properties:
N(E_F) = 5.088 states/eV/cell


Here is how they stack up, most stable first: entry Q, entry P.


Entry P
MgNi2Sn after structural relaxation. Source: Alexandria, functional PBE.

POSCAR file:
```
MgNi2Sn
1.0
-2.230 -0.619 -2.335
-2.441 -1.989 2.859
-1.950 3.673 0.890
Ni Sn Mg
2 1 1
Direct
0.000 0.000 0.500 Ni
0.000 0.500 0.000 Ni
0.500 0.000 0.000 Sn
0.500 0.500 0.500 Mg
```

Computed properties:
N(E_F) = 1.885 states/eV/cell


Entry Q
MgNi2Sn after structural relaxation. Source: Alexandria, functional PBE.

POSCAR file:
```
MgNi2Sn
1.0
2.572 -0.476 3.496
2.551 3.297 1.298
-0.915 2.145 3.691
Mg Ni Sn
1 2 1
Direct
0.000 0.000 0.000 Mg
0.750 0.750 0.750 Ni
0.250 0.250 0.250 Ni
0.500 0.500 0.500 Sn
```

Computed properties:
N(E_F) = 2.089 states/eV/cell


Here is how they stack up, most stable first: entry Q, entry P.


Entry P
Mg3Ni2Sn3 after structural relaxation. Source: Alexandria, functional PBE.

POSCAR file:
```
Mg3Ni2Sn3
1.0
4.306 0.000 0.000
-2.153 5.043 0.000
0.000 0.000 14.795
Sn Ni Mg
6 4 6
Direct
0.360 0.720 0.962 Sn
0.640 0.280 0.462 Sn
0.371 0.742 0.250 Sn
0.360 0.720 0.538 Sn
0.640 0.280 0.038 Sn
0.629 0.258 0.750 Sn
0.219 0.439 0.114 Ni
0.781 0.561 0.886 Ni
0.781 0.561 0.614 Ni
0.219 0.439 0.386 Ni
0.057 0.114 0.620 Mg
0.943 0.886 0.380 Mg
0.057 0.114 0.880 Mg
0.943 0.886 0.120 Mg
0.662 0.323 0.250 Mg
0.338 0.677 0.750 Mg
```

Computed properties:
N(E_F) = 6.973 states/eV/cell


Entry Q
Mg3Ni2Sn3 after structural relaxation. Source: Alexandria, functional PBE.

POSCAR file:
```
Mg3Ni2Sn3
1.0
5.451 0.000 0.000
0.000 7.184 0.000
0.000 0.000 16.413
Sn Mg Ni
12 12 8
Direct
0.888 0.818 0.035 Sn
0.344 0.674 0.250 Sn
0.156 0.174 0.250 Sn
0.388 0.682 0.535 Sn
0.112 0.182 0.535 Sn
0.612 0.318 0.465 Sn
0.844 0.826 0.750 Sn
0.656 0.326 0.750 Sn
0.112 0.182 0.965 Sn
0.388 0.682 0.965 Sn
0.888 0.818 0.465 Sn
0.612 0.318 0.035 Sn
0.905 0.522 0.881 Mg
0.595 0.022 0.619 Mg
0.405 0.978 0.381 Mg
0.595 0.022 0.881 Mg
0.339 0.671 0.750 Mg
0.095 0.478 0.381 Mg
0.905 0.522 0.619 Mg
0.161 0.171 0.750 Mg
0.661 0.329 0.250 Mg
0.405 0.978 0.119 Mg
0.095 0.478 0.119 Mg
0.839 0.829 0.250 Mg
0.426 0.376 0.884 Ni
0.426 0.376 0.616 Ni
0.926 0.124 0.116 Ni
0.074 0.876 0.616 Ni
0.574 0.624 0.384 Ni
0.074 0.876 0.884 Ni
0.574 0.624 0.116 Ni
0.926 0.124 0.384 Ni
```

Computed properties:
N(E_F) = 14.923 states/eV/cell


Here is how they stack up, most stable first: entry P, entry Q.